[1]
# Sm7TmSc3 (PBE, relaxed)
data_Sm7TmSc3
_chemical_formula_sum 'Sm7 Tm1 Sc3'
_cell_length_a 8.2863
_cell_length_b 8.2863
_cell_length_c 5.7815
_cell_angle_alpha 110.39
_cell_angle_beta 110.39
_cell_angle_gamma 85.24
_space_group_name_H-M_alt 'P 1'
_space_group_IT_number 1
loop_
_space_group_symop_operation_xyz
'x,y,z'
loop_
_atom_site_label
_atom_site_fract_x
_atom_site_fract_y
_atom_site_fract_z
Sm1 0.0000 0.0000 0.0000
Sm2 0.1020 0.5229 0.3125
Sm3 0.3029 0.3029 0.8037
Sm4 0.4771 0.8980 0.6875
Sm5 0.5229 0.1020 0.3125
Sm6 0.6971 0.6971 0.1963
Sm7 0.8980 0.4771 0.6875
Tm1 0.0000 0.0000 0.5000
Sc1 0.2887 0.7113 0.0000
Sc2 0.5000 0.5000 0.5000
Sc3 0.7113 0.2887 0.0000
# Energy in eV/atom: -4.89
# DOS at the Fermi energy in states/eV per atom: 1.40
# ΔH_f (0 K) in eV/atom: 0.25
# M_tot in μB/f.u.: 0.00


[2]
# MnNi5H7 (PBE, relaxed)
data_MnNi5H7
_chemical_formula_sum 'Mn2 Ni10 H14'
_cell_length_a 4.5426
_cell_length_b 4.5426
_cell_length_c 14.6391
_cell_angle_alpha 90.00
_cell_angle_beta 90.00
_cell_angle_gamma 146.17
_space_group_name_H-M_alt 'P 1'
_space_group_IT_number 1
loop_
_space_group_symop_operation_xyz
'x,y,z'
loop_
_atom_site_label
_atom_site_fract_x
_atom_site_fract_y
_atom_site_fract_z
Mn1 0.1952 0.8048 0.7500
Mn2 0.8048 0.1952 0.2500
Ni1 0.0000 0.0000 0.0000
Ni2 0.0000 0.0000 0.5000
Ni3 0.2736 0.7264 0.0797
Ni4 0.2736 0.7264 0.4203
Ni5 0.4567 0.5433 0.6526
Ni6 0.4567 0.5433 0.8474
Ni7 0.5433 0.4567 0.1526
Ni8 0.5433 0.4567 0.3474
Ni9 0.7264 0.2736 0.5797
Ni10 0.7264 0.2736 0.9203
H1 0.0889 0.9111 0.6112
H2 0.0889 0.9111 0.8888
H3 0.1742 0.8258 0.1790
H4 0.1742 0.8258 0.3210
H5 0.3643 0.6357 0.5350
H6 0.3643 0.6357 0.9650
H7 0.4511 0.5489 0.2500
H8 0.5489 0.4511 0.7500
H9 0.6357 0.3643 0.0350
H10 0.6357 0.3643 0.4650
H11 0.8258 0.1742 0.6790
H12 0.8258 0.1742 0.8210
H13 0.9111 0.0889 0.1112
H14 0.9111 0.0889 0.3888
# Energy in eV/atom: -4.77
# DOS at the Fermi energy in states/eV per atom: 0.30
# M_tot in μB/f.u.: 3.42


[3]
# SrNb4Te8 (PBE, relaxed)
data_SrNb4Te8
_chemical_formula_sum 'Sr1 Nb4 Te8'
_cell_length_a 7.4154
_cell_length_b 7.4154
_cell_length_c 9.6538
_cell_angle_alpha 112.49
_cell_angle_beta 112.49
_cell_angle_gamma 60.00
_space_group_name_H-M_alt 'P 1'
_space_group_IT_number 1
loop_
_space_group_symop_operation_xyz
'x,y,z'
loop_
_atom_site_label
_atom_site_fract_x
_atom_site_fract_y
_atom_site_fract_z
Sr1 0.0000 0.0000 0.0000
Nb1 0.0000 0.0000 0.5000
Nb2 0.0000 0.5000 0.5000
Nb3 0.5000 0.0000 0.5000
Nb4 0.5000 0.5000 0.5000
Te1 0.2374 0.2374 0.7131
Te2 0.2404 0.7353 0.7121
Te3 0.2645 0.2645 0.2878
Te4 0.2647 0.7596 0.2879
Te5 0.7353 0.2404 0.7121
Te6 0.7355 0.7355 0.7122
Te7 0.7596 0.2647 0.2879
Te8 0.7626 0.7626 0.2869
# Energy in eV/atom: -5.72
# DOS at the Fermi energy in states/eV per atom: 0.38
# Energy relative to the elements, uncorrected in eV per atom: -0.554
# M_tot in μB/f.u.: 0.00


[4]
# VCo2Ir2 (PBE, relaxed)
data_VCo2Ir2
_chemical_formula_sum 'V2 Co4 Ir4'
_cell_length_a 7.0757
_cell_length_b 7.0757
_cell_length_c 2.6996
_cell_angle_alpha 90.00
_cell_angle_beta 90.00
_cell_angle_gamma 90.00
_space_group_name_H-M_alt 'P 1'
_space_group_IT_number 1
loop_
_space_group_symop_operation_xyz
'x,y,z'
loop_
_atom_site_label
_atom_site_fract_x
_atom_site_fract_y
_atom_site_fract_z
V1 0.0000 0.0000 0.0000
V2 0.5000 0.5000 0.0000
Co1 0.1670 0.3330 0.5000
Co2 0.3330 0.8330 0.5000
Co3 0.6670 0.1670 0.5000
Co4 0.8330 0.6670 0.5000
Ir1 0.1321 0.6321 0.0000
Ir2 0.3679 0.1321 0.0000
Ir3 0.6321 0.8679 0.0000
Ir4 0.8679 0.3679 0.0000
# Energy in eV/atom: -8.10
# DOS at the Fermi energy in states/eV per atom: 1.28
# ΔH_f (0 K) in eV/atom: 0.11
# Energy above the lowest structure with this stoichiometry in meV per atom: 93
# M_tot in μB/f.u.: 2.41


[5]
# DyPuTlAu (PBE, relaxed)
data_DyPuTlAu
_chemical_formula_sum 'Dy1 Pu1 Tl1 Au1'
_cell_length_a 5.2705
_cell_length_b 5.2705
_cell_length_c 5.2705
_cell_angle_alpha 60.00
_cell_angle_beta 60.00
_cell_angle_gamma 60.00
_space_group_name_H-M_alt 'P 1'
_space_group_IT_number 1
loop_
_space_group_symop_operation_xyz
'x,y,z'
loop_
_atom_site_label
_atom_site_fract_x
_atom_site_fract_y
_atom_site_fract_z
Dy1 0.0000 0.0000 0.0000
Pu1 0.5000 0.5000 0.5000
Tl1 0.2500 0.2500 0.2500
Au1 0.7500 0.7500 0.7500
# Energy in eV/atom: -6.47
# DOS at the Fermi energy in states/eV per atom: 2.57
# ΔH_f (0 K) in eV/atom: -0.33
# M_tot in μB/f.u.: 5.69


[6]
# NaNb2GePb (PBE, relaxed)
data_NaNb2GePb
_chemical_formula_sum 'Na1 Nb2 Ge1 Pb1'
_cell_length_a 5.3185
_cell_length_b 5.3185
_cell_length_c 5.2000
_cell_angle_alpha 90.00
_cell_angle_beta 90.00
_cell_angle_gamma 90.00
_space_group_name_H-M_alt 'P 1'
_space_group_IT_number 1
loop_
_space_group_symop_operation_xyz
'x,y,z'
loop_
_atom_site_label
_atom_site_fract_x
_atom_site_fract_y
_atom_site_fract_z
Na1 0.0000 0.0000 0.0000
Nb1 0.0000 0.5000 0.5000
Nb2 0.5000 0.0000 0.5000
Ge1 0.5000 0.5000 0.0000
Pb1 0.0000 0.0000 0.5000
# Energy in eV/atom: -4.37
# DOS at the Fermi energy in states/eV per atom: 1.06
# ΔH_f (0 K) in eV/atom: 1.59
# Energy above the lowest structure with this stoichiometry in meV per atom: 632
# M_tot in μB/f.u.: 3.21


[7]
# KNF2 (PBE, relaxed)
data_KNF2
_chemical_formula_sum 'K1 N1 F2'
_cell_length_a 4.4097
_cell_length_b 4.4097
_cell_length_c 4.4097
_cell_angle_alpha 60.00
_cell_angle_beta 60.00
_cell_angle_gamma 60.00
_space_group_name_H-M_alt 'P 1'
_space_group_IT_number 1
loop_
_space_group_symop_operation_xyz
'x,y,z'
loop_
_atom_site_label
_atom_site_fract_x
_atom_site_fract_y
_atom_site_fract_z
K1 0.0000 0.0000 0.0000
N1 0.5000 0.5000 0.5000
F1 0.2500 0.2500 0.2500
F2 0.7500 0.7500 0.7500
# Energy in eV/atom: -3.33
# DOS at the Fermi energy in states/eV per atom: 3.10
# Energy above the lowest structure with this stoichiometry in meV per atom: 564
# Energy relative to the elements, uncorrected in eV per atom: -0.038
# M_tot in μB/f.u.: 2.00


[8]
# AcPrHo2 (PBE, relaxed)
data_AcPrHo2
_chemical_formula_sum 'Ac1 Pr1 Ho2'
_cell_length_a 5.2828
_cell_length_b 5.2828
_cell_length_c 5.0612
_cell_angle_alpha 90.00
_cell_angle_beta 90.00
_cell_angle_gamma 90.00
_space_group_name_H-M_alt 'P 1'
_space_group_IT_number 1
loop_
_space_group_symop_operation_xyz
'x,y,z'
loop_
_atom_site_label
_atom_site_fract_x
_atom_site_fract_y
_atom_site_fract_z
Ac1 0.0000 0.0000 0.0000
Pr1 0.5000 0.5000 0.0000
Ho1 0.0000 0.5000 0.5000
Ho2 0.5000 0.0000 0.5000
# Energy in eV/atom: -4.47
# DOS at the Fermi energy in states/eV per atom: 1.56
# ΔH_f (0 K) in eV/atom: 0.04
# Energy above the lowest structure with this stoichiometry in meV per atom: 1
# M_tot in μB/f.u.: 0.00


[9]
# Pm3YTl (PBE, relaxed)
data_Pm3YTl
_chemical_formula_sum 'Pm6 Y2 Tl2'
_cell_length_a 13.2179
_cell_length_b 13.2179
_cell_length_c 4.8860
_cell_angle_alpha 90.00
_cell_angle_beta 90.00
_cell_angle_gamma 158.70
_space_group_name_H-M_alt 'P 1'
_space_group_IT_number 1
loop_
_space_group_symop_operation_xyz
'x,y,z'
loop_
_atom_site_label
_atom_site_fract_x
_atom_site_fract_y
_atom_site_fract_z
Pm1 0.0523 0.9477 0.7500
Pm2 0.2508 0.7492 0.7500
Pm3 0.4474 0.5526 0.7500
Pm4 0.5526 0.4474 0.2500
Pm5 0.7492 0.2508 0.2500
Pm6 0.9477 0.0523 0.2500
Y1 0.3493 0.6507 0.2500
Y2 0.6507 0.3493 0.7500
Tl1 0.1530 0.8470 0.2500
Tl2 0.8470 0.1530 0.7500
# Energy in eV/atom: -4.75
# DOS at the Fermi energy in states/eV per atom: 1.21
# ΔH_f (0 K) in eV/atom: -0.13
# Energy above the lowest structure with this stoichiometry in meV per atom: 0
# M_tot in μB/f.u.: 0.00


[10]
# La2Pm2CoAg2 (PBE, relaxed)
data_La2Pm2CoAg2
_chemical_formula_sum 'La2 Pm2 Co1 Ag2'
_cell_length_a 7.6888
_cell_length_b 7.6888
_cell_length_c 7.6888
_cell_angle_alpha 145.51
_cell_angle_beta 128.09
_cell_angle_gamma 63.83
_space_group_name_H-M_alt 'P 1'
_space_group_IT_number 1
loop_
_space_group_symop_operation_xyz
'x,y,z'
loop_
_atom_site_label
_atom_site_fract_x
_atom_site_fract_y
_atom_site_fract_z
La1 0.1996 0.1996 0.0000
La2 0.8004 0.8004 0.0000
Pm1 0.2523 0.5000 0.7523
Pm2 0.7477 0.5000 0.2477
Co1 0.0000 0.0000 0.0000
Ag1 0.3798 0.8798 0.5000
Ag2 0.6202 0.1202 0.5000
# Energy in eV/atom: -4.73
# DOS at the Fermi energy in states/eV per atom: 1.01
# ΔH_f (0 K) in eV/atom: -0.14
# M_tot in μB/f.u.: 0.00